# 1
Density functional theory data (meta-GGA SCAN) for CaWClO2 at its PBEsol-relaxed geometry.

Unit cell a=4.325 b=4.325 c=4.757 alpha=90.00 beta=90.00 gamma=90.00
Space group P4/mmm (No. 123)
Symmetry-distinct sites (fractional):
Ca 0.000 0.000 0.000 (multiplicity 1)
W 0.500 0.500 0.000 (multiplicity 1)
Cl 0.000 0.000 0.500 (multiplicity 1)
O 0.000 0.500 0.500 (multiplicity 2)

Properties
Formation energy from raw total energies in eV/atom: 1.38


# 2
Density functional theory data (meta-GGA SCAN) for SrTiB2 at its PBEsol-relaxed geometry.

Unit cell a=4.408 b=4.408 c=15.068 alpha=90.00 beta=90.00 gamma=90.00
Space group I-42d (No. 122)
Symmetry-distinct sites (fractional):
Sr 0.000 0.000 0.000 (multiplicity 4)
Ti 0.000 0.000 0.500 (multiplicity 4)
B 0.006 0.250 0.625 (multiplicity 8)

Properties
DFT formation energy in meV/atom: 760


# 3
Density functional theory data (meta-GGA SCAN) for RbAsP2O at its PBEsol-relaxed geometry.

Unit cell a=5.130 b=5.130 c=3.792 alpha=90.00 beta=90.00 gamma=90.00
Space group P4/mmm (No. 123)
Symmetry-distinct sites (fractional):
Rb 0.000 0.000 0.000 (multiplicity 1)
As 0.500 0.500 0.500 (multiplicity 1)
P 0.000 0.500 0.500 (multiplicity 2)
O 0.500 0.500 0.000 (multiplicity 1)

Properties
Formation energy from raw total energies in eV/atom: 0.33